Tb2PrNdSc: optimized geometry, GGA-PBE.

The calculated formation energy is 42 meV per atom.

a = 6.2701 Å, b = 5.6866 Å, c = 9.5413 Å
α = 90.00°, β = 108.91°, γ = 90.00°
Closest atoms and distances in Å follow each position.
Positions (direct):
Tb1 0.0339 0.2500 0.3960  4 Nd 3.52-3.65, 3 Pr 3.54-3.71, 4 Tb 3.57-3.68, 1 Sc 3.58
Tb2 0.4271 0.2500 0.1887  3 Pr 3.45-3.55, 4 Sc 3.50-3.63, 3 Nd 3.57-3.72, 2 Tb 3.63-3.68
Tb3 0.5729 0.7500 0.8113  3 Pr 3.45-3.55, 4 Sc 3.50-3.63, 3 Nd 3.57-3.72, 2 Tb 3.63-3.68
Tb4 0.9661 0.7500 0.6040  4 Nd 3.52-3.65, 3 Pr 3.54-3.71, 4 Tb 3.57-3.68, 1 Sc 3.58
Pr1 0.2313 0.2500 0.8070  6 Tb 3.45-3.71, 4 Sc 3.48-3.69, 2 Nd 3.62-3.66
Pr2 0.7687 0.7500 0.1930  6 Tb 3.45-3.71, 4 Sc 3.48-3.69, 2 Nd 3.62-3.66
Nd1 0.3665 0.7500 0.3986  7 Tb 3.52-3.72, 2 Nd 3.54, 1 Sc 3.59, 2 Pr 3.62-3.66
Nd2 0.6335 0.2500 0.6014  7 Tb 3.52-3.72, 2 Nd 3.54, 1 Sc 3.59, 2 Pr 3.62-3.66
Sc1 0.1546 0.7500 0.0006  2 Sc 3.44, 4 Pr 3.48-3.69, 5 Tb 3.50-3.63, 1 Nd 3.59
Sc2 0.8454 0.2500 0.9994  2 Sc 3.44, 4 Pr 3.48-3.69, 5 Tb 3.50-3.63, 1 Nd 3.59